# 1
RbTiB, optimized geometry, DFT GGA-PBE; symmetry = P1, No. 1; uncorrected energy = -4.96 eV per atom
1.0
3.260 0.000 0.000
0.000 3.260 0.000
-0.475 -0.131 12.658
Rb Ti B
2 2 2
Direct
0.000 0.000 0.000
0.408 0.475 0.361
0.442 0.483 0.606
0.964 0.989 0.755
0.468 0.491 0.785
0.938 0.982 0.576


# 2
RbTiB, optimized geometry, DFT GGA-PBE; symmetry = P4/nmm, No. 129; uncorrected energy = -4.87 eV per atom
1.0
4.179 0.000 0.000
0.000 4.179 0.000
0.000 0.000 11.090
Rb Ti B
2 2 2
Direct
0.250 0.250 0.230
0.750 0.750 0.770
0.250 0.750 0.500
0.750 0.250 0.500
0.250 0.250 0.577
0.750 0.750 0.423


# 3
RbTiB, optimized geometry, DFT GGA-PBE; symmetry = P6_3/mmc, No. 194; uncorrected energy = -3.61 eV per atom
1.0
5.942 0.000 0.000
-2.971 5.146 0.000
0.000 0.000 8.149
Rb Ti B
2 2 2
Direct
0.333 0.667 0.250
0.667 0.333 0.750
0.000 0.000 0.000
0.000 0.000 0.500
0.000 0.000 0.250
0.000 0.000 0.750


# 4
RbTiB, optimized geometry, DFT GGA-PBE; symmetry = P-6m2, No. 187; uncorrected energy = -4.35 eV per atom
1.0
3.729 0.000 0.000
-1.865 3.230 0.000
0.000 0.000 12.484
Rb Ti B
2 2 2
Direct
0.000 0.000 0.000
0.000 0.000 0.500
0.333 0.667 0.250
0.333 0.667 0.750
0.667 0.333 0.223
0.667 0.333 0.777


# 5
RbTiB2, optimized geometry, DFT GGA-PBE; symmetry = Fm-3m, No. 225; uncorrected energy = -3.64 eV per atom
1.0
0.000 3.221 3.221
3.221 0.000 3.221
3.221 3.221 0.000
Rb Ti B
1 1 2
Direct
0.000 0.000 0.000
0.500 0.500 0.500
0.250 0.250 0.250
0.750 0.750 0.750


# 6
Rb2TiB2, optimized geometry, DFT GGA-PBE; symmetry = P4/mbm, No. 127; uncorrected energy = -3.29 eV per atom
1.0
6.551 0.000 0.000
0.000 6.551 0.000
0.000 0.000 5.875
Rb Ti B
4 2 4
Direct
0.167 0.333 0.000
0.333 0.833 0.000
0.667 0.167 0.000
0.833 0.667 0.000
0.000 0.000 0.500
0.500 0.500 0.500
0.225 0.725 0.500
0.275 0.225 0.500
0.725 0.775 0.500
0.775 0.275 0.500


# 7
RbTiB, optimized geometry, DFT GGA-PBE; symmetry = P1, No. 1; uncorrected energy = -4.89 eV per atom
1.0
3.194 0.000 0.000
0.002 4.520 0.000
0.337 0.907 11.862
Rb Ti B
2 2 2
Direct
0.000 0.000 0.000
0.422 0.572 0.611
0.458 0.441 0.251
0.948 0.879 0.345
0.442 0.174 0.406
0.944 0.348 0.385


# 8
Rb2TiTlB, optimized geometry, DFT GGA-PBE; symmetry = P4/mmm, No. 123; uncorrected energy = -2.91 eV per atom
1.0
6.674 0.000 0.000
0.000 6.674 0.000
0.000 0.000 4.244
Rb Ti Tl B
2 1 1 1
Direct
0.000 0.500 0.000
0.500 0.000 0.000
0.000 0.000 0.500
0.500 0.500 0.500
0.000 0.000 0.000


# 9
Rb2TlB, optimized geometry, DFT GGA-PBE; symmetry = I-42d, No. 122; uncorrected energy = -2.15 eV per atom
1.0
-6.668 6.668 2.123
6.668 -6.668 2.123
6.668 6.668 -2.123
Rb Tl B
4 2 2
Direct
0.375 0.073 0.198
0.823 0.625 0.698
0.875 0.177 0.802
0.927 0.125 0.302
0.250 0.750 0.500
0.500 0.500 0.000
0.000 0.000 0.000
0.750 0.250 0.500


# 10
RbTlB3, optimized geometry, DFT GGA-PBE; symmetry = Pm-3m, No. 221; uncorrected energy = -2.45 eV per atom
1.0
4.873 0.000 0.000
0.000 4.873 0.000
0.000 0.000 4.873
Rb Tl B
1 1 3
Direct
0.000 0.000 0.000
0.500 0.500 0.500
0.000 0.500 0.500
0.500 0.000 0.500
0.500 0.500 0.000


# 11
RbTlB, optimized geometry, DFT GGA-PBE; symmetry = P-1, No. 2; uncorrected energy = -2.87 eV per atom
1.0
4.412 0.000 0.000
-0.047 6.286 0.000
-0.937 -2.534 6.637
Rb Tl B
2 2 2
Direct
0.053 0.350 0.214
0.947 0.650 0.786
0.461 0.144 0.773
0.539 0.856 0.227
0.098 0.942 0.414
0.902 0.058 0.586


# 12
RbTlB, optimized geometry, DFT GGA-PBE; symmetry = P-6m2, No. 187; uncorrected energy = -2.58 eV per atom
1.0
4.106 0.000 0.000
-2.053 3.556 0.000
0.000 0.000 5.832
Rb Tl B
1 1 1
Direct
0.000 0.000 0.000
0.333 0.667 0.500
0.667 0.333 0.500